Material: MnInAsCl2
Method: DFT, meta-GGA SCAN
State: PBEsol geometry

Calculated values
For the uncorrected energy, the calculation gives -18.12 eV per atom. As for the raw formation energy: -0.56 eV per atom.

Geometry as extended XYZ:
```
5
Lattice="4.586 0.000 0.000 0.000 4.586 0.000 0.000 0.000 5.196" Properties=species:S:1:pos:R:3 pbc="T T T"
Mn 0.000 0.000 0.000
In 2.293 2.293 2.598
As 0.000 0.000 2.598
Cl 0.000 2.293 0.000
Cl 2.293 0.000 0.000
```



Material: InAsP2Cl
Method: DFT, meta-GGA SCAN
State: PBEsol geometry

Calculated values
For the uncorrected energy, the calculation gives -15.96 eV per atom. As for the raw formation energy: 0.51 eV per atom.

Geometry as extended XYZ:
```
5
Lattice="4.742 0.000 0.000 0.000 4.742 0.000 0.000 0.000 4.931" Properties=species:S:1:pos:R:3 pbc="T T T"
In 0.000 0.000 0.000
As 2.371 2.371 2.465
P 0.000 2.371 2.465
P 2.371 0.000 2.465
Cl 2.371 2.371 0.000
```



Material: AsIr3Cl
Method: DFT, meta-GGA SCAN
State: PBEsol geometry

Calculated values
For the uncorrected energy, the calculation gives -46.76 eV per atom. As for the raw formation energy: 1.53 eV per atom.

Geometry as extended XYZ:
```
5
Lattice="4.577 0.000 0.000 0.000 4.577 0.000 0.000 0.000 4.577" Properties=species:S:1:pos:R:3 pbc="T T T"
As 0.000 0.000 0.000
Ir 0.000 0.000 2.289
Ir 0.000 2.289 0.000
Ir 2.289 0.000 0.000
Cl 2.289 2.289 2.289
```



Material: NaAs2IrCl
Method: DFT, meta-GGA SCAN
State: PBEsol geometry

Calculated values
For the uncorrected energy, the calculation gives -24.85 eV per atom. As for the raw formation energy: -0.12 eV per atom.

Geometry as extended XYZ:
```
5
Lattice="4.561 0.000 0.000 0.000 4.561 0.000 0.000 0.000 7.677" Properties=species:S:1:pos:R:3 pbc="T T T"
Na 0.000 0.000 0.000
As 0.000 2.280 3.839
As 2.280 0.000 3.839
Ir 2.280 2.280 3.839
Cl 2.280 2.280 0.000
```



Material: K3AsCl
Method: DFT, meta-GGA SCAN
State: PBEsol geometry

Calculated values
For the uncorrected energy, the calculation gives -11.51 eV per atom. The value obtained for the energy above the most stable polymorph in this dataset is 0 meV per atom. As for the raw formation energy: -0.88 eV per atom.

Geometry as extended XYZ:
```
5
Lattice="5.735 0.000 0.000 0.000 5.735 0.000 0.000 0.000 5.735" Properties=species:S:1:pos:R:3 pbc="T T T"
K 0.000 0.000 2.867
K 0.000 2.867 0.000
K 2.867 0.000 0.000
As 2.867 2.867 2.867
Cl 0.000 0.000 0.000
```



Material: K3AsCl6
Method: DFT, meta-GGA SCAN
State: PBEsol geometry

Calculated values
For the uncorrected energy, the calculation gives -10.86 eV per atom. As for the raw formation energy: -1.56 eV per atom.

Geometry as extended XYZ:
```
10
Lattice="0.000 5.358 5.358 5.358 0.000 5.358 5.358 5.358 0.000" Properties=species:S:1:pos:R:3 pbc="T T T"
K 0.000 0.000 0.000
K 2.679 2.679 2.679
K 8.037 8.037 8.037
As 5.358 5.358 5.358
Cl 5.358 5.358 2.890
Cl 5.358 2.890 5.358
Cl 7.826 5.358 5.358
Cl 2.890 5.358 5.358
Cl 5.358 7.826 5.358
Cl 5.358 5.358 7.826
```



Material: KNbAs2Cl
Method: DFT, meta-GGA SCAN
State: PBEsol geometry

Calculated values
For the uncorrected energy, the calculation gives -17.27 eV per atom. As for the raw formation energy: 0.69 eV per atom.

Geometry as extended XYZ:
```
5
Lattice="5.283 0.000 0.000 0.000 5.283 0.000 0.000 0.000 4.481" Properties=species:S:1:pos:R:3 pbc="T T T"
K 0.000 0.000 0.000
Nb 2.641 2.641 0.000
As 0.000 2.641 2.240
As 2.641 0.000 2.240
Cl 2.641 2.641 2.240
```



Material: K2AsPbCl
Method: DFT, meta-GGA SCAN
State: PBEsol geometry

Calculated values
For the uncorrected energy, the calculation gives -24.60 eV per atom. As for the raw formation energy: -0.48 eV per atom.

Geometry as extended XYZ:
```
5
Lattice="5.438 0.000 0.000 0.000 5.438 0.000 0.000 0.000 5.677" Properties=species:S:1:pos:R:3 pbc="T T T"
K 0.000 2.719 0.000
K 2.719 0.000 0.000
As 0.000 0.000 2.839
Pb 2.719 2.719 2.839
Cl 2.719 2.719 0.000
```



Material: K2RbAsCl6
Method: DFT, meta-GGA SCAN
State: PBEsol geometry

Calculated values
For the uncorrected energy, the calculation gives -12.08 eV per atom. As for the raw formation energy: -1.53 eV per atom.

Geometry as extended XYZ:
```
10
Lattice="0.000 5.474 5.474 5.474 0.000 5.474 5.474 5.474 0.000" Properties=species:S:1:pos:R:3 pbc="T T T"
K 2.737 2.737 2.737
K 8.211 8.211 8.211
Rb 0.000 0.000 0.000
As 5.474 5.474 5.474
Cl 5.474 5.474 3.003
Cl 5.474 3.003 5.474
Cl 7.944 5.474 5.474
Cl 3.003 5.474 5.474
Cl 5.474 7.944 5.474
Cl 5.474 5.474 7.944
```



Material: KRb2AsCl6
Method: DFT, meta-GGA SCAN
State: PBEsol geometry

Calculated values
For the uncorrected energy, the calculation gives -13.40 eV per atom. As for the raw formation energy: -1.61 eV per atom.

Geometry as extended XYZ:
```
10
Lattice="0.000 5.379 5.379 5.379 0.000 5.379 5.379 5.379 0.000" Properties=species:S:1:pos:R:3 pbc="T T T"
K 0.000 0.000 0.000
Rb 2.690 2.690 2.690
Rb 8.069 8.069 8.069
As 5.379 5.379 5.379
Cl 5.379 5.379 2.907
Cl 5.379 2.907 5.379
Cl 7.852 5.379 5.379
Cl 2.907 5.379 5.379
Cl 5.379 7.852 5.379
Cl 5.379 5.379 7.852
```



Material: LaAsCl
Method: DFT, meta-GGA SCAN
State: PBEsol geometry

Calculated values
For the uncorrected energy, the calculation gives -25.09 eV per atom. As for the raw formation energy: -1.33 eV per atom.

Geometry as extended XYZ:
```
3
Lattice="-1.845 1.845 5.249 1.845 -1.845 5.249 1.845 1.845 -5.249" Properties=species:S:1:pos:R:3 pbc="T T T"
La 0.000 0.000 0.000
As 0.000 0.000 7.157
Cl 0.000 0.000 3.893
```



Material: La2AsCl
Method: DFT, meta-GGA SCAN
State: PBEsol geometry

Calculated values
For the uncorrected energy, the calculation gives -30.41 eV per atom. As for the raw formation energy: -1.82 eV per atom.

Geometry as extended XYZ:
```
4
Lattice="4.211 0.000 0.000 0.000 4.211 0.000 0.000 0.000 5.934" Properties=species:S:1:pos:R:3 pbc="T T T"
La 0.000 0.000 0.000
La 2.105 2.105 2.967
As 0.000 0.000 2.967
Cl 2.105 2.105 0.000
```



Material: LaAsCl2
Method: DFT, meta-GGA SCAN
State: PBEsol geometry

Calculated values
For the uncorrected energy, the calculation gives -21.46 eV per atom. The value obtained for the energy above the most stable polymorph in this dataset is 8 meV per atom. As for the raw formation energy: -1.65 eV per atom.

Geometry as extended XYZ:
```
4
Lattice="4.916 -2.057 0.000 4.916 2.057 0.000 -0.534 0.000 4.709" Properties=species:S:1:pos:R:3 pbc="T T T"
La 0.000 0.000 0.000
As 4.649 0.000 2.355
Cl 2.522 0.000 3.663
Cl 6.777 0.000 1.046
```



Material: La2AsCl
Method: DFT, meta-GGA SCAN
State: PBEsol geometry

Calculated values
For the uncorrected energy, the calculation gives -29.25 eV per atom. As for the raw formation energy: -0.66 eV per atom.

Geometry as extended XYZ:
```
4
Lattice="0.000 3.620 3.620 3.620 0.000 3.620 3.620 3.620 0.000" Properties=species:S:1:pos:R:3 pbc="T T T"
La 0.000 0.000 0.000
La 1.810 1.810 1.810
As 3.620 3.620 3.620
Cl 5.429 5.429 5.429
```



Material: LaAsCl2
Method: DFT, meta-GGA SCAN
State: PBEsol geometry

Calculated values
For the uncorrected energy, the calculation gives -21.47 eV per atom. The value obtained for the energy above the most stable polymorph in this dataset is 0 meV per atom. As for the raw formation energy: -1.66 eV per atom.

Geometry as extended XYZ:
```
4
Lattice="4.438 0.000 0.000 0.000 4.429 0.000 -0.777 0.000 5.248" Properties=species:S:1:pos:R:3 pbc="T T T"
La 0.000 0.000 0.000
As 2.307 2.215 0.533
Cl 0.473 0.000 2.716
Cl 2.617 2.215 3.703
```



Material: La2AsCl
Method: DFT, meta-GGA SCAN
State: PBEsol geometry

Calculated values
For the uncorrected energy, the calculation gives -30.32 eV per atom. As for the raw formation energy: -1.72 eV per atom.

Geometry as extended XYZ:
```
4
Lattice="2.079 1.200 7.076 -2.079 1.200 7.076 0.000 -2.400 7.076" Properties=species:S:1:pos:R:3 pbc="T T T"
La 0.000 0.000 0.000
La 0.000 0.000 3.691
As 0.000 0.000 8.914
Cl 0.000 0.000 12.497
```



Material: La2As2Cl
Method: DFT, meta-GGA SCAN
State: PBEsol geometry

Calculated values
For the uncorrected energy, the calculation gives -28.30 eV per atom. As for the raw formation energy: -1.39 eV per atom.

Geometry as extended XYZ:
```
5
Lattice="-2.780 2.780 4.575 2.780 -2.780 4.575 2.780 2.780 -4.575" Properties=species:S:1:pos:R:3 pbc="T T T"
La 2.780 0.000 2.287
La 0.000 2.780 2.287
As 0.000 0.000 1.210
As 0.000 0.000 7.940
Cl 0.000 0.000 4.575
```



Material: Li2AsCl
Method: DFT, meta-GGA SCAN
State: PBEsol geometry

Calculated values
For the uncorrected energy, the calculation gives -9.26 eV per atom. As for the raw formation energy: -1.03 eV per atom.

Geometry as extended XYZ:
```
4
Lattice="3.012 0.000 0.000 0.000 3.012 0.000 0.000 0.000 7.166" Properties=species:S:1:pos:R:3 pbc="T T T"
Li 0.000 0.000 1.550
Li 0.000 0.000 5.616
As 1.506 1.506 3.583
Cl 1.506 1.506 0.000
```



Material: LiAsCl
Method: DFT, meta-GGA SCAN
State: PBEsol geometry

Calculated values
For the uncorrected energy, the calculation gives -10.32 eV per atom. As for the raw formation energy: -0.13 eV per atom.

Geometry as extended XYZ:
```
3
Lattice="4.735 0.000 0.000 -2.368 4.101 0.000 0.000 0.000 2.972" Properties=species:S:1:pos:R:3 pbc="T T T"
Li 0.000 0.000 0.000
As 2.368 1.367 1.486
Cl 0.000 2.734 1.486
```



Material: MgAs3Cl
Method: DFT, meta-GGA SCAN
State: PBEsol geometry

Calculated values
For the uncorrected energy, the calculation gives -13.97 eV per atom. As for the raw formation energy: 0.73 eV per atom.

Geometry as extended XYZ:
```
5
Lattice="4.922 0.000 0.000 0.000 4.922 0.000 0.000 0.000 4.922" Properties=species:S:1:pos:R:3 pbc="T T T"
Mg 0.000 0.000 0.000
As 0.000 0.000 2.461
As 0.000 2.461 0.000
As 2.461 0.000 0.000
Cl 2.461 2.461 2.461
```



Material: MnAs2Cl
Method: DFT, meta-GGA SCAN
State: PBEsol geometry

Calculated values
For the uncorrected energy, the calculation gives -16.87 eV per atom. The value obtained for the energy above the most stable polymorph in this dataset is 0 meV per atom. As for the raw formation energy: -0.22 eV per atom.

Geometry as extended XYZ:
```
4
Lattice="3.230 0.000 0.000 0.000 3.230 0.000 0.000 0.000 7.034" Properties=species:S:1:pos:R:3 pbc="T T T"
Mn 0.000 0.000 0.000
As 0.000 0.000 2.758
As 1.615 1.615 1.395
Cl 1.615 1.615 5.503
```



Material: MnAsCl
Method: DFT, meta-GGA SCAN
State: PBEsol geometry

Calculated values
For the uncorrected energy, the calculation gives -15.97 eV per atom. The value obtained for the energy above the most stable polymorph in this dataset is 0 meV per atom. As for the raw formation energy: -0.50 eV per atom.

Geometry as extended XYZ:
```
3
Lattice="0.000 2.502 6.537 1.755 0.000 6.537 1.755 2.502 0.000" Properties=species:S:1:pos:R:3 pbc="T T T"
Mn 0.000 0.000 0.000
As 1.755 2.502 8.232
Cl 1.755 2.502 4.928
```



Material: MnAs2Cl
Method: DFT, meta-GGA SCAN
State: PBEsol geometry

Calculated values
For the uncorrected energy, the calculation gives -16.73 eV per atom. The value obtained for the energy above the most stable polymorph in this dataset is 145 meV per atom. As for the raw formation energy: -0.07 eV per atom.

Geometry as extended XYZ:
```
4
Lattice="1.615 0.932 7.386 -1.615 0.932 7.386 0.000 -1.865 7.386" Properties=species:S:1:pos:R:3 pbc="T T T"
Mn 0.000 0.000 0.000
As 0.000 0.000 5.868
As 0.000 0.000 16.291
Cl 0.000 0.000 11.080
```



Material: MnAsCl
Method: DFT, meta-GGA SCAN
State: PBEsol geometry

Calculated values
For the uncorrected energy, the calculation gives -14.97 eV per atom. The value obtained for the energy above the most stable polymorph in this dataset is 1002 meV per atom. As for the raw formation energy: 0.51 eV per atom.

Geometry as extended XYZ:
```
3
Lattice="0.000 3.109 3.109 3.109 0.000 3.109 3.109 3.109 0.000" Properties=species:S:1:pos:R:3 pbc="T T T"
Mn 0.000 0.000 0.000
As 3.109 3.109 3.109
Cl 1.555 1.555 1.555
```



Material: MnAs2Cl
Method: DFT, meta-GGA SCAN
State: PBEsol geometry

Calculated values
For the uncorrected energy, the calculation gives -16.84 eV per atom. The value obtained for the energy above the most stable polymorph in this dataset is 34 meV per atom. As for the raw formation energy: -0.18 eV per atom.

Geometry as extended XYZ:
```
4
Lattice="1.762 -2.719 0.000 1.762 2.719 0.000 0.000 0.000 8.438" Properties=species:S:1:pos:R:3 pbc="T T T"
Mn 0.000 0.000 0.000
As 0.000 0.000 4.733
As 1.762 0.000 6.563
Cl 1.762 0.000 1.594
```



Material: NaMn2AsCl
Method: DFT, meta-GGA SCAN
State: PBEsol geometry

Calculated values
For the uncorrected energy, the calculation gives -13.36 eV per atom. As for the raw formation energy: 0.42 eV per atom.

Geometry as extended XYZ:
```
5
Lattice="4.349 0.000 0.000 0.000 4.349 0.000 0.000 0.000 5.394" Properties=species:S:1:pos:R:3 pbc="T T T"
Na 0.000 0.000 0.000
Mn 0.000 2.174 2.697
Mn 2.174 0.000 2.697
As 2.174 2.174 0.000
Cl 2.174 2.174 2.697
```



Material: Rb2MnAsCl
Method: DFT, meta-GGA SCAN
State: PBEsol geometry

Calculated values
For the uncorrected energy, the calculation gives -17.58 eV per atom. As for the raw formation energy: 0.00 eV per atom.

Geometry as extended XYZ:
```
5
Lattice="6.533 0.000 0.000 0.000 6.533 0.000 0.000 0.000 4.227" Properties=species:S:1:pos:R:3 pbc="T T T"
Rb 0.000 3.267 0.000
Rb 3.267 0.000 0.000
Mn 0.000 0.000 0.000
As 3.267 3.267 2.114
Cl 0.000 0.000 2.114
```



Material: MnSbAsCl2
Method: DFT, meta-GGA SCAN
State: PBEsol geometry

Calculated values
For the uncorrected energy, the calculation gives -18.64 eV per atom. As for the raw formation energy: -0.31 eV per atom.

Geometry as extended XYZ:
```
5
Lattice="4.446 0.000 0.000 0.000 4.446 0.000 0.000 0.000 5.832" Properties=species:S:1:pos:R:3 pbc="T T T"
Mn 0.000 0.000 0.000
Sb 0.000 0.000 2.916
As 2.223 2.223 2.916
Cl 0.000 2.223 0.000
Cl 2.223 0.000 0.000
```



Material: MnAsSe2Cl
Method: DFT, meta-GGA SCAN
State: PBEsol geometry

Calculated values
For the uncorrected energy, the calculation gives -17.25 eV per atom. The value obtained for the energy above the most stable polymorph in this dataset is 0 meV per atom. As for the raw formation energy: 0.07 eV per atom.

Geometry as extended XYZ:
```
5
Lattice="5.051 0.000 0.000 0.000 5.051 0.000 0.000 0.000 4.671" Properties=species:S:1:pos:R:3 pbc="T T T"
Mn 0.000 0.000 0.000
As 2.525 2.525 2.335
Se 0.000 2.525 2.335
Se 2.525 0.000 2.335
Cl 2.525 2.525 0.000
```